No. 1
Entry from the Alexandria database: a relaxed AcGa4Ag crystal (PBE-GGA).

Properties
density of states at the Fermi level = 3.73 states/eV/f.u.
calculated density = 7.685 g/cm³
energy of formation = -0.19 eV per atom
total DFT energy (no corrections) = -20.2 eV for the cell shown
total moment = 0.00 μB/cell
relative energy among the computed polymorphs = 101 meV/atom

CIF file:
```
data_AcGa4Ag
_chemical_formula_sum 'Ac1 Ga4 Ag1'
_symmetry_space_group_name_H-M 'P 1'
_symmetry_Int_Tables_number 1
_cell_length_a 5.7241
_cell_length_b 5.7241
_cell_length_c 5.7241
_cell_angle_alpha 60.00
_cell_angle_beta 60.00
_cell_angle_gamma 60.00
loop_
_symmetry_equiv_pos_as_xyz
'x,y,z'
loop_
_atom_site_label
_atom_site_type_symbol
_atom_site_fract_x
_atom_site_fract_y
_atom_site_fract_z
_atom_site_occupancy
Ac1 Ac 0.2500 0.2500 0.2500 1
Ga1 Ga 0.6253 0.1241 0.6253 1
Ga2 Ga 0.6253 0.6253 0.1241 1
Ag1 Ag 0.0000 0.0000 0.0000 1
Ga3 Ga 0.1241 0.6253 0.6253 1
Ga4 Ga 0.6253 0.6253 0.6253 1
```

No. 2
Entry from the Alexandria database: a relaxed La8Pm2Th crystal (PBE-GGA).

Properties
density of states at the Fermi level = 19.50 states/eV/f.u.
calculated density = 6.540 g/cm³
energy of formation = 0.29 eV per atom
total DFT energy (no corrections) = -53.1 eV for the cell shown
total moment = 0.00 μB/cell

CIF file:
```
data_La8Pm2Th
_chemical_formula_sum 'La8 Pm2 Th1'
_symmetry_space_group_name_H-M 'P 1'
_symmetry_Int_Tables_number 1
_cell_length_a 7.5115
_cell_length_b 8.8441
_cell_length_c 7.5115
_cell_angle_alpha 107.44
_cell_angle_beta 73.67
_cell_angle_gamma 72.56
loop_
_symmetry_equiv_pos_as_xyz
'x,y,z'
loop_
_atom_site_label
_atom_site_type_symbol
_atom_site_fract_x
_atom_site_fract_y
_atom_site_fract_z
_atom_site_occupancy
La1 La 0.7386 0.7501 0.7603 1
La2 La 0.6035 0.2978 0.3965 1
La3 La 0.2397 0.7501 0.2614 1
La4 La 0.2614 0.2499 0.2397 1
La5 La 0.2972 0.1288 0.7028 1
Th1 Th 0.0000 0.0000 0.0000 1
Pm1 Pm 0.8329 0.4523 0.1671 1
La6 La 0.3965 0.7022 0.6035 1
Pm2 Pm 0.1671 0.5477 0.8329 1
La7 La 0.7028 0.8712 0.2972 1
La8 La 0.7603 0.2499 0.7386 1
```

No. 3
Entry from the Alexandria database: a relaxed InRhPb2 crystal (PBE-GGA).

Properties
density of states at the Fermi level = 2.30 states/eV/f.u.
calculated density = 10.436 g/cm³
energy of formation = -0.09 eV per atom
total DFT energy (no corrections) = -17.9 eV for the cell shown
total moment = 0.00 μB/cell

CIF file:
```
data_InRhPb2
_chemical_formula_sum 'In1 Rh1 Pb2'
_symmetry_space_group_name_H-M 'P 1'
_symmetry_Int_Tables_number 1
_cell_length_a 7.3470
_cell_length_b 7.3470
_cell_length_c 7.3470
_cell_angle_alpha 154.36
_cell_angle_beta 144.00
_cell_angle_gamma 44.72
loop_
_symmetry_equiv_pos_as_xyz
'x,y,z'
loop_
_atom_site_label
_atom_site_type_symbol
_atom_site_fract_x
_atom_site_fract_y
_atom_site_fract_z
_atom_site_occupancy
In1 In 0.5000 0.0000 0.5000 1
Rh1 Rh 0.0000 0.5000 0.5000 1
Pb1 Pb 0.1796 0.1796 0.0000 1
Pb2 Pb 0.8204 0.8204 0.0000 1
```

No. 4
Entry from the Alexandria database: a relaxed Ac2HgSO8 crystal (PBE-GGA).

Properties
density of states at the Fermi level = 4.94 states/eV/f.u.
calculated density = 7.609 g/cm³
total DFT energy (no corrections) = -70.0 eV for the cell shown
total moment = 2.02 μB/cell

CIF file:
```
data_Ac2HgSO8
_chemical_formula_sum 'Ac2 Hg1 S1 O8'
_symmetry_space_group_name_H-M 'P 1'
_symmetry_Int_Tables_number 1
_cell_length_a 5.1048
_cell_length_b 5.1048
_cell_length_c 7.8779
_cell_angle_alpha 90.00
_cell_angle_beta 90.00
_cell_angle_gamma 120.00
loop_
_symmetry_equiv_pos_as_xyz
'x,y,z'
loop_
_atom_site_label
_atom_site_type_symbol
_atom_site_fract_x
_atom_site_fract_y
_atom_site_fract_z
_atom_site_occupancy
O1 O 0.6943 0.8472 0.1220 1
Ac1 Ac 0.6667 0.3333 0.1953 1
Hg1 Hg 0.0000 0.0000 0.5000 1
O2 O 0.1528 0.8472 0.1220 1
O3 O 0.8472 0.1528 0.8780 1
O4 O 0.3057 0.1528 0.8780 1
Ac2 Ac 0.3333 0.6667 0.8047 1
O5 O 0.3333 0.6667 0.4911 1
O6 O 0.6667 0.3333 0.5089 1
O7 O 0.1528 0.3057 0.1220 1
S1 S 0.0000 0.0000 0.0000 1
O8 O 0.8472 0.6943 0.8780 1
```

No. 5
Entry from the Alexandria database: a relaxed NpZn2F8 crystal (PBE-GGA).

Properties
density of states at the Fermi level = 8.52 states/eV/f.u.
calculated density = 5.844 g/cm³
total DFT energy (no corrections) = -60.5 eV for the cell shown
total moment = 3.00 μB/cell

CIF file:
```
data_NpZn2F8
_chemical_formula_sum 'Np1 Zn2 F8'
_symmetry_space_group_name_H-M 'P 1'
_symmetry_Int_Tables_number 1
_cell_length_a 5.3568
_cell_length_b 5.8395
_cell_length_c 5.8395
_cell_angle_alpha 57.46
_cell_angle_beta 104.36
_cell_angle_gamma 104.36
loop_
_symmetry_equiv_pos_as_xyz
'x,y,z'
loop_
_atom_site_label
_atom_site_type_symbol
_atom_site_fract_x
_atom_site_fract_y
_atom_site_fract_z
_atom_site_occupancy
F1 F 0.2674 0.9491 0.3968 1
F2 F 0.7326 0.0509 0.6032 1
Zn1 Zn 0.4953 0.3447 0.3447 1
F3 F 0.2674 0.3968 0.9491 1
Zn2 Zn 0.5047 0.6553 0.6553 1
F4 F 0.7549 0.5483 0.5483 1
F5 F 0.7326 0.6032 0.0509 1
F6 F 0.2451 0.4517 0.4517 1
F7 F 0.2750 0.8968 0.8968 1
Np1 Np 0.0000 0.0000 0.0000 1
F8 F 0.7250 0.1032 0.1032 1
```

No. 6
Entry from the Alexandria database: a relaxed Hf3VPd crystal (PBE-GGA).

Properties
density of states at the Fermi level = 7.47 states/eV/f.u.
calculated density = 9.240 g/cm³
energy of formation = 0.79 eV per atom
total DFT energy (no corrections) = -40.2 eV for the cell shown
total moment = 3.72 μB/cell
relative energy among the computed polymorphs = 117 meV/atom

CIF file:
```
data_Hf3VPd
_chemical_formula_sum 'Hf3 V1 Pd1'
_symmetry_space_group_name_H-M 'P 1'
_symmetry_Int_Tables_number 1
_cell_length_a 4.9935
_cell_length_b 4.9935
_cell_length_c 4.9935
_cell_angle_alpha 90.00
_cell_angle_beta 90.00
_cell_angle_gamma 90.00
loop_
_symmetry_equiv_pos_as_xyz
'x,y,z'
loop_
_atom_site_label
_atom_site_type_symbol
_atom_site_fract_x
_atom_site_fract_y
_atom_site_fract_z
_atom_site_occupancy
Hf1 Hf 0.0000 0.0000 0.5000 1
Hf2 Hf 0.0000 0.5000 0.0000 1
Pd1 Pd 0.0000 0.0000 0.0000 1
V1 V 0.5000 0.5000 0.5000 1
Hf3 Hf 0.5000 0.0000 0.0000 1
```

Repeat the second record exactly.
Entry from the Alexandria database: a relaxed La8Pm2Th crystal (PBE-GGA).

Properties
density of states at the Fermi level = 19.50 states/eV/f.u.
calculated density = 6.540 g/cm³
energy of formation = 0.29 eV per atom
total DFT energy (no corrections) = -53.1 eV for the cell shown
total moment = 0.00 μB/cell

CIF file:
```
data_La8Pm2Th
_chemical_formula_sum 'La8 Pm2 Th1'
_symmetry_space_group_name_H-M 'P 1'
_symmetry_Int_Tables_number 1
_cell_length_a 7.5115
_cell_length_b 8.8441
_cell_length_c 7.5115
_cell_angle_alpha 107.44
_cell_angle_beta 73.67
_cell_angle_gamma 72.56
loop_
_symmetry_equiv_pos_as_xyz
'x,y,z'
loop_
_atom_site_label
_atom_site_type_symbol
_atom_site_fract_x
_atom_site_fract_y
_atom_site_fract_z
_atom_site_occupancy
La1 La 0.7386 0.7501 0.7603 1
La2 La 0.6035 0.2978 0.3965 1
La3 La 0.2397 0.7501 0.2614 1
La4 La 0.2614 0.2499 0.2397 1
La5 La 0.2972 0.1288 0.7028 1
Th1 Th 0.0000 0.0000 0.0000 1
Pm1 Pm 0.8329 0.4523 0.1671 1
La6 La 0.3965 0.7022 0.6035 1
Pm2 Pm 0.1671 0.5477 0.8329 1
La7 La 0.7028 0.8712 0.2972 1
La8 La 0.7603 0.2499 0.7386 1
```